Record 1
Below is crystalline Pb2CO4 at its relaxed geometry, with properties calculated at the PBE level.

As for the energy relative to the elements, uncorrected: -1.152 eV/atom. Its total energy is -178.1 eV per cell.

The structure belongs to space group Cmcm (No. 63); the cell edges are 7.349, 12.283 and 5.073 Å and the angles 90.00°, 90.00° and 90.00°. The distinct sites, in fractional coordinates, are Pb at (0.241, 0.123, 0.250), C at (0.000, 0.125, 0.750), O at (0.000, 0.192, 0.520) and O at (0.162, 0.065, 0.750).

---

Record 2
Below is crystalline Nd3Ga4Ge4 at its relaxed geometry, with properties calculated at the PBE level.

Its total energy is -51.0 eV per cell. The value obtained for the formation energy is -0.56 eV per atom.

The structure belongs to space group P-1 (No. 2); the cell edges are 4.214, 4.343 and 13.840 Å and the angles 99.00°, 90.05° and 90.02°. The distinct sites, in fractional coordinates, are Nd at (0.000, 0.000, 0.000), Nd at (0.007, 0.363, 0.724), Ga at (0.016, 0.229, 0.457), Ga at (0.432, 0.088, 0.177), Ge at (0.448, 0.455, 0.910) and Ge at (0.490, 0.826, 0.646).

---

Record 3
Below is crystalline LiScTc2Os at its relaxed geometry, with properties calculated at the PBE level.

Its total energy is -35.1 eV per cell. The value obtained for the formation energy is 1.03 eV per atom.

The structure belongs to space group P4/mmm (No. 123); the cell edges are 4.150, 4.150 and 4.288 Å and the angles 90.00°, 90.00° and 90.00°. The distinct sites, in fractional coordinates, are Li at (0.000, 0.000, 0.000), Sc at (0.000, 0.000, 0.500), Tc at (0.000, 0.500, 0.000) and Os at (0.500, 0.500, 0.500).

---

Record 4
Below is crystalline TbDyAgOs at its relaxed geometry, with properties calculated at the PBE level.

The value obtained for the energy above the lowest structure with this stoichiometry is 0.0000 eV per atom. Its total energy is -24.5 eV per cell. The value obtained for the formation energy is -0.31 eV per atom.

The structure belongs to space group P4mm (No. 99); the cell edges are 3.413, 3.413 and 7.620 Å and the angles 90.00°, 90.00° and 90.00°. The distinct sites, in fractional coordinates, are Tb at (0.000, 0.000, 0.000), Dy at (0.000, 0.000, 0.559), Ag at (0.500, 0.500, 0.282) and Os at (0.500, 0.500, 0.778).

---

Record 5
Below is crystalline Rb2PaBr2F4 at its relaxed geometry, with properties calculated at the PBE level.

As for the energy relative to the elements, uncorrected: -2.790 eV/atom. Its total energy is -94.7 eV per cell.

The structure belongs to space group I4/mmm (No. 139); the cell edges are 7.186, 7.186 and 10.307 Å and the angles 90.00°, 90.00° and 90.00°. The distinct sites, in fractional coordinates, are Rb at (0.000, 0.500, 0.250), Pa at (0.000, 0.000, 0.000), Br at (0.000, 0.000, 0.281) and F at (0.212, 0.212, 0.000).

---

Record 6
Below is crystalline ZrSe3O at its relaxed geometry, with properties calculated at the PBE level.

As for the energy relative to the elements, uncorrected: -0.101 eV/atom. The value obtained for the energy above the lowest structure with this stoichiometry is 0.0000 eV per atom. Its total energy is -24.5 eV per cell.

The structure belongs to space group Pm-3m (No. 221); the cell edges are 4.489, 4.489 and 4.489 Å and the angles 90.00°, 90.00° and 90.00°. The distinct sites, in fractional coordinates, are Zr at (0.000, 0.000, 0.000), Se at (0.000, 0.500, 0.500) and O at (0.500, 0.500, 0.500).

---

Record 7
Below is crystalline NaScSn at its relaxed geometry, with properties calculated at the PBE level.

Its total energy is -25.3 eV per cell. The value obtained for the formation energy is -0.34 eV per atom.

The structure belongs to space group Pmmn (No. 59, origin choice 2); the cell edges are 3.398, 4.545 and 9.597 Å and the angles 90.00°, 90.00° and 90.00°. The distinct sites, in fractional coordinates, are Na at (0.250, 0.250, 0.083), Sc at (0.250, 0.250, 0.411) and Sn at (0.250, 0.250, 0.726).

---

Record 8
Below is crystalline AcGaSi at its relaxed geometry, with properties calculated at the PBE level.

As for the energy relative to the elements, uncorrected: -0.108 eV/atom. The value obtained for the energy above the lowest structure with this stoichiometry is 0.5143 eV per atom. Its total energy is -51.5 eV per cell.

The structure belongs to space group F-43m (No. 216); the cell edges are 6.931, 6.931 and 6.931 Å and the angles 90.00°, 90.00° and 90.00°. The distinct sites, in fractional coordinates, are Ac at (0.000, 0.000, 0.000), Ga at (0.250, 0.250, 0.250) and Si at (0.000, 0.000, 0.500).

---

Record 9
Below is crystalline Ce3RuRh at its relaxed geometry, with properties calculated at the PBE level.

The value obtained for the energy above the lowest structure with this stoichiometry is 0.0000 eV per atom. Its total energy is -73.5 eV per cell. The value obtained for the formation energy is -0.47 eV per atom.

The structure belongs to space group P-1 (No. 2); the cell edges are 5.967, 5.981 and 6.717 Å and the angles 74.97°, 75.91° and 84.59°. The distinct sites, in fractional coordinates, are Ce at (0.115, 0.231, 0.021), Ce at (0.230, 0.147, 0.524), Ce at (0.330, 0.634, 0.275), Ru at (0.189, 0.615, 0.680) and Rh at (0.437, 0.873, 0.854).

---

Record 10
Below is crystalline TeRhBrN2 at its relaxed geometry, with properties calculated at the PBE level.

As for the energy relative to the elements, uncorrected: 2.118 eV/atom. The value obtained for the energy above the lowest structure with this stoichiometry is 1.0014 eV per atom. Its total energy is -18.2 eV per cell.

The structure belongs to space group P4/mmm (No. 123); the cell edges are 3.794, 3.794 and 7.854 Å and the angles 90.00°, 90.00° and 90.00°. The distinct sites, in fractional coordinates, are Te at (0.000, 0.000, 0.000), Rh at (0.500, 0.500, 0.000), Br at (0.000, 0.000, 0.500) and N at (0.000, 0.500, 0.500).

---

Record 11
Below is crystalline LiMn3I at its relaxed geometry, with properties calculated at the PBE level.

As for the energy relative to the elements, uncorrected: 1.247 eV/atom. The value obtained for the energy above the lowest structure with this stoichiometry is 0.2454 eV per atom. Its total energy is -24.7 eV per cell.

The structure belongs to space group Pm-3m (No. 221); the cell edges are 4.877, 4.877 and 4.877 Å and the angles 90.00°, 90.00° and 90.00°. The distinct sites, in fractional coordinates, are Li at (0.000, 0.000, 0.000), Mn at (0.000, 0.500, 0.500) and I at (0.500, 0.500, 0.500).

---

Record 12
Below is crystalline Li2GeOsPt at its relaxed geometry, with properties calculated at the PBE level.

Its total energy is -22.5 eV per cell. The value obtained for the formation energy is 0.63 eV per atom.

The structure belongs to space group P4/mmm (No. 123); the cell edges are 4.312, 4.312 and 4.570 Å and the angles 90.00°, 90.00° and 90.00°. The distinct sites, in fractional coordinates, are Li at (0.000, 0.500, 0.000), Ge at (0.000, 0.000, 0.000), Os at (0.000, 0.000, 0.500) and Pt at (0.500, 0.500, 0.500).